Below is a relaxed structure of ZrBeFeB, with properties calculated at the PBE-GGA level.

Output
The space-group type is F-43m (216). As for the uncorrected energy: -6.83 eV/atom. As for the energy above the lowest structure with this stoichiometry: 0.0000 eV per atom.

Cell: 3.9811 3.9811 3.9811 Å, 60.00 60.00 60.00°
Last column: nearest neighbours and their distance in Å.
Sites, in units of the cell vectors:
B: 0.0000 0.0000 0.0000  4 Fe 2.44, 4 Zr 2.44
Be: 0.5000 0.5000 0.5000  4 Fe 2.44, 4 Zr 2.44
Fe: 0.7500 0.7500 0.7500  4 Be 2.44, 4 B 2.44
Zr: 0.2500 0.2500 0.2500  4 Be 2.44, 4 B 2.44

---

Below is a relaxed structure of WAu, with properties calculated at the PBE-GGA level.

Output
The space-group type is P-6m2 (187). As for the uncorrected energy: -7.65 eV/atom. The calculation puts the formation energy at 0.46 eV per atom. As for the energy above the lowest structure with this stoichiometry: 0.0000 eV per atom.

Cell: 2.8411 2.8410 4.7642 Å, 90.00 90.00 120.00°
Last column: nearest neighbours and their distance in Å.
Sites, in units of the cell vectors:
Au: 0.6667 0.3333 0.7500  6 Au 2.84, 6 W 2.89
W: 0.3333 0.6667 0.2500  6 W 2.84, 6 Au 2.89

---

Below is a relaxed structure of BeZnSe2, with properties calculated at the PBE-GGA level.

Output
The space-group type is P-4m2 (115). As for the uncorrected energy: -3.72 eV/atom.

Cell: 3.8427 3.8427 5.4913 Å, 90.00 90.00 90.00°
Last column: nearest neighbours and their distance in Å.
Sites, in units of the cell vectors:
Be: 0.5000 0.5000 0.5000  4 Se 2.28
Se: 0.0000 0.5000 0.2773  2 Be 2.28, 2 Zn 2.45
Se: 0.5000 0.0000 0.7227  2 Be 2.28, 2 Zn 2.45
Zn: 0.0000 0.0000 0.0000  4 Se 2.45

---

Below is a relaxed structure of ThIrAu, with properties calculated at the PBE-GGA level.

Output
The space-group type is F-43m (216). As for the uncorrected energy: -7.08 eV/atom. The calculation puts the formation energy at -0.56 eV per atom. As for the energy above the lowest structure with this stoichiometry: 0.0000 eV per atom.

Cell: 4.7124 4.7124 4.7124 Å, 60.00 60.00 60.00°
Last column: nearest neighbours and their distance in Å.
Sites, in units of the cell vectors:
Au: 0.7500 0.7500 0.7500  4 Ir 2.89
Ir: 0.0000 0.0000 0.0000  4 Th 2.89, 4 Au 2.89
Th: 0.2500 0.2500 0.2500  4 Ir 2.89